[1]
# Dy2PdBr

A relaxed structure of Dy2PdBr (GGA-PBE, Alexandria via LeMat-Bulk).

a = 8.0649 Å, b = 8.0649 Å, c = 8.0649 Å
α = 29.25°, β = 29.25°, γ = 29.25°
Element x y z (fractional)
Dy 0.0000 0.0000 0.0000
Dy 0.2047 0.2047 0.2047
Pd 0.6025 0.6025 0.6025
Br 0.7727 0.7727 0.7727

Values from the calculation:
- polymorph energy (0 for the lowest one) (eV per atom) = 0.0248
- energy relative to the elements, uncorrected (eV/atom) = -0.9680
- size of the total moment (μB/cell) = 0.0



[2]
# Ce4Si2Br5

A relaxed structure of Ce4Si2Br5 (GGA-PBE, Alexandria via LeMat-Bulk).

a = 11.7520 Å, b = 11.7520 Å, c = 8.2278 Å
α = 93.01°, β = 93.01°, γ = 20.47°
Element x y z (fractional)
Ce 0.0115 0.0115 0.2815
Ce 0.3353 0.3353 0.5521
Ce 0.6647 0.6647 0.4479
Ce 0.9885 0.9885 0.7185
Si 0.4511 0.4511 0.4717
Si 0.5489 0.5489 0.5283
Br 0.1386 0.1386 0.1926
Br 0.2126 0.2126 0.6864
Br 0.5000 0.5000 0.0000
Br 0.7874 0.7874 0.3136
Br 0.8614 0.8614 0.8074

Values from the calculation:
- energy relative to the elements, uncorrected (eV/atom) = -1.2330
- size of the total moment (μB/cell) = 4.5



[3]
# La3InRu

A relaxed structure of La3InRu (GGA-PBE, Alexandria via LeMat-Bulk).

a = 8.4517 Å, b = 8.4517 Å, c = 8.4517 Å
α = 50.25°, β = 50.25°, γ = 50.25°
Element x y z (fractional)
La 0.1144 0.3643 0.7222
La 0.2778 0.8856 0.6357
La 0.3643 0.7222 0.1144
La 0.6357 0.2778 0.8856
La 0.7222 0.1144 0.3643
La 0.8856 0.6357 0.2778
In 0.1800 0.1800 0.1800
In 0.8200 0.8200 0.8200
Ru 0.3132 0.3132 0.3132
Ru 0.6868 0.6868 0.6868

Values from the calculation:
- polymorph energy (0 for the lowest one) (eV per atom) = 0.1683
- size of the total moment (μB/cell) = 0.0



[4]
# Ac4AlInHg2

A relaxed structure of Ac4AlInHg2 (GGA-PBE, Alexandria via LeMat-Bulk).

a = 9.9356 Å, b = 9.9356 Å, c = 9.9356 Å
α = 33.49°, β = 33.49°, γ = 33.49°
Element x y z (fractional)
Ac 0.1222 0.1222 0.1222
Ac 0.3722 0.3722 0.3722
Ac 0.6278 0.6278 0.6278
Ac 0.8778 0.8778 0.8778
Al 0.0000 0.0000 0.0000
In 0.5000 0.5000 0.5000
Hg 0.2486 0.2486 0.2486
Hg 0.7514 0.7514 0.7514

Values from the calculation:
- size of the total moment (μB/cell) = 0.0



Here are the calculated calculated volume numbers, same order: 27.7; 36.1; 32.9; 33.3 (Å³ per atom).
Here are the calculated density numbers, same order: 7.660; 4.253; 6.393; 9.057 (g/cm³).
Here are the calculated calculated total energy numbers, same order: -4.99; -5.14; -5.61; -3.32 (eV per atom).